Here is Pr5ErGe4 after structural relaxation from the Alexandria database. Energies are from PBE-GGA.

Lattice parameters (Å, degrees): 5.1072 7.0531 10.8533 129.32 103.61 90.00
Closest atoms and distances in Å follow each position.
Positions (direct):
Pr1 0.1659 0.3253 0.3318  5 Ge 3.02-3.27
Pr2 0.1641 0.8302 0.3282  5 Ge 3.11-3.28, 1 Pr 3.47
Pr3 0.8341 0.6747 0.6682  5 Ge 3.02-3.27
Pr4 0.5000 0.5000 0.0000  6 Ge 3.15-3.35, 2 Er 3.53
Pr5 0.8359 0.1698 0.6718  5 Ge 3.11-3.28, 1 Pr 3.47
Ge1 0.6749 0.1019 0.3499  7 Pr 3.07-3.35, 1 Er 3.27
Ge2 0.0086 0.2553 0.0173  6 Pr 3.02-3.28, 2 Er 3.06, 1 Ge 3.37
Ge3 0.3251 0.8981 0.6501  7 Pr 3.07-3.35, 1 Er 3.27
Ge4 0.9914 0.7447 0.9827  6 Pr 3.02-3.28, 2 Er 3.06, 1 Ge 3.37
Er1 0.5000 0.0000 0.0000  6 Ge 3.06-3.27

## Properties
* DOS(E_F): 0.57 states/eV per atom
* total magnetization: 0.00 μB per formula unit
* formation enthalpy at 0 K: -58.1 kJ per mole of atoms

***

Here is KMg2Tc after structural relaxation from the Alexandria database. Energies are from PBE-GGA.

Lattice parameters (Å, degrees): 2.8323 5.8912 5.6018 90.00 90.00 90.00
Closest atoms and distances in Å follow each position.
Positions (direct):
Tc1 0.5000 0.0000 0.5000  2 Tc 2.83, 4 Mg 3.14
K1 0.0000 0.5000 0.5000  2 K 2.83, 4 Mg 3.14
Mg1 0.5000 0.5000 0.0000  2 Mg 2.83, 4 K 3.14
Mg2 0.0000 0.0000 0.0000  2 Mg 2.83, 4 Tc 3.14

## Properties
* DOS(E_F): 1.14 states/eV per atom
* total magnetization: 1.08 μB per formula unit
* formation enthalpy at 0 K: 94.4 kJ per mole of atoms
* energy above the lowest structure with this stoichiometry: 521 meV/atom

***

Here is GaHg2F8 after structural relaxation from the Alexandria database. Energies are from PBE-GGA.

Lattice parameters (Å, degrees): 4.9746 5.8696 5.8696 78.16 103.10 103.10
Closest atoms and distances in Å follow each position.
Positions (direct):
Hg1 0.5666 0.3176 0.3176  5 F 2.17-2.38
Hg2 0.4334 0.6824 0.6824  5 F 2.17-2.38
F1 0.2456 0.9494 0.3042  1 Ga 1.93
F2 0.7544 0.0506 0.6958  1 Ga 1.93
F3 0.2456 0.3042 0.9494  1 Ga 1.93
F4 0.7544 0.6958 0.0506  1 Ga 1.93
F5 0.2295 0.4326 0.4326  2 Hg 2.20-2.22
F6 0.7780 0.1403 0.1403  1 Ga 1.92
F7 0.7705 0.5674 0.5674  2 Hg 2.20-2.22
F8 0.2220 0.8597 0.8597  1 Ga 1.92
Ga1 0.0000 0.0000 0.0000  6 F 1.92-1.93

## Properties
* DOS(E_F): 0.24 states/eV per atom
* total magnetization: 1.05 μB per formula unit
* formation energy from raw total energies: -18.62 eV/f.u.